(1)
# Co2OsCl

Crystalline Co2OsCl at its relaxed geometry (PBEsol, Alexandria via LeMat-Bulk).

Cell: 5.795 5.795 5.795 Å, 90.00 90.00 90.00°
Space group F-43m (No. 216)
Inequivalent atoms, fractional coordinates:
1 Co 0.000 0.000 0.000
2 Co 0.250 0.250 0.250
3 Os 0.000 0.000 0.500
4 Cl 0.250 0.250 0.750

Results
D(E_F) ... 19.38 states/eV/cell
Theoretical density ... 11.73 Mg/m³
Magnetization ... 1.4 μB/f.u.
Relative energy among the computed polymorphs ... 108 meV per atom

(2)
# CoPOsCl2

Crystalline CoPOsCl2 at its relaxed geometry (PBEsol, Alexandria via LeMat-Bulk).

Cell: 4.283 4.283 4.608 Å, 90.00 90.00 90.00°
Space group P4/mmm (No. 123)
Inequivalent atoms, fractional coordinates:
1 Co 0.000 0.000 0.000
2 P 0.000 0.000 0.500
3 Os 0.500 0.500 0.500
4 Cl 0.000 0.500 0.000

Results
D(E_F) ... 5.43 states/eV/cell
Theoretical density ... 6.90 Mg/m³
Magnetization ... 3.5 μB/f.u.
Relative energy among the computed polymorphs ... 129 meV per atom

(3)
# CoPOsCl2

Crystalline CoPOsCl2 at its relaxed geometry (PBEsol, Alexandria via LeMat-Bulk).

Cell: 4.808 4.808 4.449 Å, 90.00 90.00 90.00°
Space group P4/mmm (No. 123)
Inequivalent atoms, fractional coordinates:
1 Co 0.000 0.000 0.000
2 P 0.500 0.500 0.000
3 Os 0.500 0.500 0.500
4 Cl 0.000 0.500 0.500

Results
D(E_F) ... 9.83 states/eV/cell
Theoretical density ... 5.67 Mg/m³
Magnetization ... 2.6 μB/f.u.
Relative energy among the computed polymorphs ... 0 meV per atom

(4)
# CoSbOsCl2

Crystalline CoSbOsCl2 at its relaxed geometry (PBEsol, Alexandria via LeMat-Bulk).

Cell: 5.077 5.077 5.107 Å, 90.00 90.00 90.00°
Space group P4/mmm (No. 123)
Inequivalent atoms, fractional coordinates:
1 Co 0.000 0.000 0.000
2 Sb 0.500 0.500 0.500
3 Os 0.500 0.500 0.000
4 Cl 0.000 0.500 0.500

Results
D(E_F) ... 7.37 states/eV/cell
Theoretical density ... 5.57 Mg/m³
Magnetization ... 4.1 μB/f.u.
E ... -4.0920 eV/atom

(5)
# CoPCl2

Crystalline CoPCl2 at its relaxed geometry (PBEsol, Alexandria via LeMat-Bulk).

Cell: 6.212 6.212 6.212 Å, 90.00 90.00 90.00°
Space group Fm-3m (No. 225)
Inequivalent atoms, fractional coordinates:
1 Co 0.000 0.000 0.000
2 P 0.000 0.000 0.500
3 Cl 0.250 0.250 0.250

Results
D(E_F) ... 20.04 states/eV/cell
Theoretical density ... 4.46 Mg/m³
Magnetization ... 1.3 μB/f.u.
Relative energy among the computed polymorphs ... 1383 meV per atom

(6)
# Co3PCl

Crystalline Co3PCl at its relaxed geometry (PBEsol, Alexandria via LeMat-Bulk).

Cell: 4.042 4.042 4.042 Å, 90.00 90.00 90.00°
Space group Pm-3m (No. 221)
Inequivalent atoms, fractional coordinates:
1 Co 0.000 0.000 0.500
2 P 0.500 0.500 0.500
3 Cl 0.000 0.000 0.000

Results
D(E_F) ... 6.87 states/eV/cell
Theoretical density ... 6.11 Mg/m³
Magnetization ... 1.5 μB/f.u.
E ... -5.2998 eV/atom

(7)
# CoP2Cl

Crystalline CoP2Cl at its relaxed geometry (PBEsol, Alexandria via LeMat-Bulk).

Cell: 2.491 3.237 7.644 Å, 90.00 90.00 90.00°
Space group Pmmm (No. 47)
Inequivalent atoms, fractional coordinates:
1 Co 0.000 0.000 0.000
2 P 0.500 0.500 0.160
3 Cl 0.000 0.000 0.500

Results
D(E_F) ... 2.81 states/eV/cell
Theoretical density ... 4.21 Mg/m³
Magnetization ... 0.0 μB/f.u.
Relative energy among the computed polymorphs ... 0 meV per atom

(8)
# Co2PCl

Crystalline Co2PCl at its relaxed geometry (PBEsol, Alexandria via LeMat-Bulk).

Cell: 5.890 5.890 5.890 Å, 90.00 90.00 90.00°
Space group F-43m (No. 216)
Inequivalent atoms, fractional coordinates:
1 Co 0.000 0.000 0.000
2 Co 0.250 0.250 0.250
3 P 0.000 0.000 0.500
4 Cl 0.250 0.250 0.750

Results
D(E_F) ... 21.38 states/eV/cell
Theoretical density ... 5.99 Mg/m³
Magnetization ... 2.5 μB/f.u.
E ... -4.9659 eV/atom

(9)
# CoPCl2

Crystalline CoPCl2 at its relaxed geometry (PBEsol, Alexandria via LeMat-Bulk).

Cell: 6.164 6.164 6.164 Å, 90.00 90.00 90.00°
Space group F-43m (No. 216)
Inequivalent atoms, fractional coordinates:
1 Co 0.000 0.000 0.000
2 P 0.250 0.250 0.750
3 Cl 0.000 0.000 0.500
4 Cl 0.250 0.250 0.250

Results
D(E_F) ... 7.81 states/eV/cell
Theoretical density ... 4.56 Mg/m³
Magnetization ... 0.0 μB/f.u.
Relative energy among the computed polymorphs ... 1364 meV per atom

(10)
# CoPCl2

Crystalline CoPCl2 at its relaxed geometry (PBEsol, Alexandria via LeMat-Bulk).

Cell: 5.734 3.311 7.672 Å, 90.00 91.24 90.00°
Space group Cm (No. 8)
Inequivalent atoms, fractional coordinates:
1 Co 0.000 0.000 0.000
2 P 0.337 0.000 0.130
3 Cl 0.161 0.500 0.816
4 Cl 0.345 0.000 0.393

Results
Theoretical density ... 3.67 Mg/m³
Magnetization ... 0.0 μB/f.u.
Relative energy among the computed polymorphs ... 0 meV per atom

(11)
# CoPCl2

Crystalline CoPCl2 at its relaxed geometry (PBEsol, Alexandria via LeMat-Bulk).

Cell: 4.451 11.719 3.053 Å, 90.00 90.00 90.00°
Space group Cmmm (No. 65)
Inequivalent atoms, fractional coordinates:
1 Co 0.000 0.000 0.000
2 P 0.000 0.500 0.000
3 Cl 0.000 0.137 0.500

Results
D(E_F) ... 5.80 states/eV/cell
Theoretical density ... 3.35 Mg/m³
Magnetization ... 0.2 μB/f.u.
Relative energy among the computed polymorphs ... 629 meV per atom

(12)
# CoP2Cl

Crystalline CoP2Cl at its relaxed geometry (PBEsol, Alexandria via LeMat-Bulk).

Cell: 2.730 4.179 9.883 Å, 90.00 90.00 90.00°
Space group Immm (No. 71)
Inequivalent atoms, fractional coordinates:
1 Co 0.000 0.000 0.000
2 P 0.000 0.500 0.307
3 Cl 0.000 0.000 0.500

Results
D(E_F) ... 5.29 states/eV/cell
Theoretical density ... 4.61 Mg/m³
Magnetization ... 0.0 μB/f.u.
Relative energy among the computed polymorphs ... 310 meV per atom